No. 1
Compound: LiICl2
Source: the Alexandria database
Functional: GGA-PBE
Structure: optimized geometry

Values from the calculation:
Offset from the most stable computed form in kJ per mole of atoms: 57.95
Fermi-level density of states in states/eV/f.u.: 2.6
DFT total energy in eV/atom: -2.10

abc: 5.334 5.334 5.334
angles: 60.00 60.00 60.00
Fractional positions:
Li 0.000 0.000 0.000
I 0.500 0.500 0.500
Cl 0.250 0.250 0.250
Cl 0.750 0.750 0.750

---

No. 2
Compound: La3HgO
Source: the Alexandria database
Functional: GGA-PBE
Structure: optimized geometry

Values from the calculation:
Offset from the most stable computed form in kJ per mole of atoms: 39.82
Fermi-level density of states in states/eV/f.u.: 12.4
DFT total energy in eV/atom: -4.96

abc: 9.524 9.524 9.524
angles: 60.00 60.00 60.00
Fractional positions:
La 0.068 0.068 0.682
La 0.068 0.682 0.068
La 0.068 0.682 0.682
La 0.318 0.318 0.932
La 0.318 0.932 0.318
La 0.318 0.932 0.932
La 0.682 0.068 0.068
La 0.682 0.068 0.682
La 0.682 0.682 0.068
La 0.932 0.318 0.318
La 0.932 0.318 0.932
La 0.932 0.932 0.318
Hg 0.000 0.500 0.500
Hg 0.500 0.000 0.500
Hg 0.500 0.500 0.000
Hg 0.500 0.500 0.500
O 0.000 0.000 0.000
O 0.000 0.000 0.500
O 0.000 0.500 0.000
O 0.500 0.000 0.000

---

No. 3
Compound: PrSm2PaS4
Source: the Alexandria database
Functional: GGA-PBE
Structure: optimized geometry

Values from the calculation:
Fermi-level density of states in states/eV/f.u.: 5.8
DFT total energy in eV/atom: -6.92

abc: 6.938 3.979 6.940
angles: 90.00 109.11 90.00
Fractional positions:
Pr 0.000 0.000 0.000
Sm 0.000 0.500 0.500
Sm 0.500 0.000 0.500
Pa 0.500 0.500 0.000
S 0.258 0.000 0.752
S 0.259 0.500 0.252
S 0.741 0.500 0.748
S 0.742 0.000 0.248